# 1
## TlRe3 (PBE)

Data for a relaxed TlRe3 crystal.

Calculated values
**Excess energy over the best structure of this formula in the dataset**: 0.979 eV/f.u.
**ΔE_f**: 298 kJ/mol of formula units
**Crystal system**: orthorhombic
**E**: -9.155 eV/atom
**Size of the total moment**: 0.00 Bohr magnetons per cell

Cell lengths 5.6609, 5.0767, 9.2704 Å; angles 90.00, 90.00, 90.00 degrees
Last column: nearest neighbours and their distance in Å.
Element x y z (fractional)
Re  0.3599  0.4170  0.7500  8 Re 2.69-2.99, 3 Tl 2.74-2.92
Re  0.6401  0.5830  0.2500  8 Re 2.69-2.99, 3 Tl 2.74-2.92
Re  0.3576  0.7196  0.9877  8 Re 2.69-2.99, 3 Tl 2.87-3.00
Re  0.1424  0.2196  0.5123  8 Re 2.69-2.99, 3 Tl 2.87-3.00
Re  0.3576  0.7196  0.5123  8 Re 2.69-2.99, 3 Tl 2.87-3.00
Re  0.8599  0.0830  0.2500  8 Re 2.69-2.99, 3 Tl 2.74-2.92
Re  0.8576  0.7804  0.4877  8 Re 2.69-2.99, 3 Tl 2.87-3.00
Re  0.6424  0.2804  0.4877  8 Re 2.69-2.99, 3 Tl 2.87-3.00
Re  0.1401  0.9170  0.7500  8 Re 2.69-2.99, 3 Tl 2.74-2.92
Re  0.1424  0.2196  0.9877  8 Re 2.69-2.99, 3 Tl 2.87-3.00
Re  0.8576  0.7804  0.0123  8 Re 2.69-2.99, 3 Tl 2.87-3.00
Re  0.6424  0.2804  0.0123  8 Re 2.69-2.99, 3 Tl 2.87-3.00
Tl  0.6247  0.9344  0.7500  10 Re 2.74-3.02, 2 Tl 2.91
Tl  0.8753  0.4344  0.7500  10 Re 2.74-3.02, 2 Tl 2.91
Tl  0.1247  0.5656  0.2500  10 Re 2.74-3.02, 2 Tl 2.91
Tl  0.3753  0.0656  0.2500  10 Re 2.74-3.02, 2 Tl 2.91

# 2
## Tl5Re (PBE)

Data for a relaxed Tl5Re crystal.

Calculated values
**Excess energy over the best structure of this formula in the dataset**: 0.712 eV/f.u.
**ΔE_f**: 352 kJ/mol of formula units
**Crystal system**: orthorhombic
**E**: -3.439 eV/atom
**Size of the total moment**: 0.00 Bohr magnetons per cell

Cell lengths 12.7839, 12.7839, 4.6382 Å; angles 90.00, 90.00, 166.14 degrees
Last column: nearest neighbours and their distance in Å.
Element x y z (fractional)
Tl  0.6791  0.3209  0.0000  4 Tl 3.08-3.43
Tl  0.7786  0.2214  0.5000  4 Tl 3.08-3.43
Tl  0.0815  0.9185  0.5000  4 Tl 3.08-3.32
Tl  0.4659  0.5341  0.5000  4 Re 2.79, 2 Tl 3.08
Tl  0.3652  0.6348  0.0000  2 Re 2.92, 2 Tl 3.08
Re  0.9631  0.0369  0.0000  6 Tl 2.79-2.92, 2 Re 3.08